Below is a relaxed structure of CaPb5, with properties calculated at the PBE level.

Lattice parameters (Å, degrees): 4.9981 14.8408 4.9864 90.00 90.00 90.00
With the nearest neighbours (Å) after each atom.
Positions (direct):
Ca  0.0000  0.0000  0.0000  12 Pb 3.51-3.53
Ca  0.5000  0.5000  0.0000  12 Pb 3.51-3.53
Pb  0.0000  0.1663  0.5000  10 Pb 3.51-3.53, 2 Ca 3.51
Pb  0.0000  0.3325  0.0000  10 Pb 3.50-3.53, 2 Ca 3.53
Pb  0.0000  0.5000  0.5000  8 Pb 3.51-3.52, 4 Ca 3.53
Pb  0.0000  0.6675  0.0000  10 Pb 3.50-3.53, 2 Ca 3.53
Pb  0.0000  0.8337  0.5000  10 Pb 3.51-3.53, 2 Ca 3.51
Pb  0.5000  0.0000  0.5000  8 Pb 3.51-3.52, 4 Ca 3.53
Pb  0.5000  0.1675  0.0000  10 Pb 3.50-3.53, 2 Ca 3.53
Pb  0.5000  0.3337  0.5000  10 Pb 3.51-3.53, 2 Ca 3.51
Pb  0.5000  0.6663  0.5000  10 Pb 3.51-3.53, 2 Ca 3.51
Pb  0.5000  0.8325  0.0000  10 Pb 3.50-3.53, 2 Ca 3.53

Values from the calculation:
Formation enthalpy at 0 K ... -0.18 eV/atom
Space-group type ... Cmmm, No. 65
Offset from the most stable computed form ... 0.0 meV per atom
Total moment ... 0.0 μB/f.u.
E ... -43.195 eV for the cell shown

=====

Below is a relaxed structure of Ca2Pb3, with properties calculated at the PBE level.

Lattice parameters (Å, degrees): 8.8104 6.6322 10.0145 59.88 40.63 79.49
With the nearest neighbours (Å) after each atom.
Positions (direct):
Ca  0.2569  0.7431  0.3496  9 Pb 3.33-3.71
Ca  0.5996  0.9004  0.5069  9 Pb 3.33-3.71
Ca  0.7431  0.2569  0.6504  9 Pb 3.33-3.71
Ca  0.9004  0.5996  0.9931  9 Pb 3.33-3.71
Pb  0.1423  0.8197  0.0659  5 Pb 3.28-3.66, 5 Ca 3.38-3.49
Pb  0.1841  0.2779  0.1077  5 Pb 3.28-3.66, 5 Ca 3.38-3.49
Pb  0.2779  0.1841  0.4303  5 Pb 3.28-3.66, 5 Ca 3.38-3.49
Pb  0.3989  0.3989  0.6011  4 Pb 3.28-3.44, 6 Ca 3.33-3.66
Pb  0.6489  0.6489  0.8511  4 Pb 3.28-3.44, 6 Ca 3.33-3.66
Pb  0.8197  0.1423  0.9721  5 Pb 3.28-3.66, 5 Ca 3.38-3.49

Values from the calculation:
Formation enthalpy at 0 K ... -0.39 eV/atom
Space-group type ... Fdd2, No. 43
Total moment ... 0.0 μB/f.u.
E ... -34.188 eV for the cell shown

=====

Below is a relaxed structure of Ca5Pb2, with properties calculated at the PBE level.

Lattice parameters (Å, degrees): 9.2690 9.2690 7.2066 90.07 90.07 49.70
With the nearest neighbours (Å) after each atom.
Positions (direct):
Ca  0.0006  0.9994  0.7500  4 Pb 3.27, 6 Ca 3.56-3.60
Ca  0.2325  0.2354  0.2507  4 Pb 3.34-3.71, 4 Ca 3.60-3.70
Ca  0.2354  0.2325  0.7507  4 Pb 3.34-3.71, 4 Ca 3.60-3.70
Ca  0.2567  0.5666  0.0007  2 Pb 3.18-3.47
Ca  0.4334  0.7433  0.4993  2 Pb 3.18-3.47
Ca  0.5666  0.2567  0.5007  2 Pb 3.18-3.47
Ca  0.7433  0.4334  0.9993  2 Pb 3.18-3.47
Ca  0.7646  0.7675  0.2493  4 Pb 3.34-3.71, 4 Ca 3.60-3.70
Ca  0.7675  0.7646  0.7493  4 Pb 3.34-3.71, 4 Ca 3.60-3.70
Ca  0.9994  0.0006  0.2500  4 Pb 3.27, 6 Ca 3.56-3.60
Pb  0.1376  0.6364  0.4992  6 Ca 3.18-3.47
Pb  0.3636  0.8624  0.0008  6 Ca 3.18-3.47
Pb  0.6364  0.1376  0.9992  6 Ca 3.18-3.47
Pb  0.8624  0.3636  0.5008  6 Ca 3.18-3.47

Values from the calculation:
Formation enthalpy at 0 K ... -0.44 eV/atom
Space-group type ... C2/c, No. 15
Offset from the most stable computed form ... 0.0 meV per atom
Total moment ... 0.0 μB/f.u.
E ... -40.957 eV for the cell shown

=====

Below is a relaxed structure of CaPb5, with properties calculated at the PBE level.

Lattice parameters (Å, degrees): 12.9539 3.8720 7.7570 90.00 106.13 90.00
With the nearest neighbours (Å) after each atom.
Positions (direct):
Ca  0.0000  0.0000  0.0000  10 Pb 3.45-3.70
Ca  0.5000  0.5000  0.0000  10 Pb 3.45-3.70
Pb  0.0358  0.0000  0.5656  9 Pb 3.43-3.67, 1 Ca 3.53
Pb  0.1723  0.5000  0.3367  7 Pb 3.36-3.51, 2 Ca 3.51
Pb  0.2036  0.5000  0.9010  7 Pb 3.41-3.51, 3 Ca 3.52-3.70
Pb  0.3293  0.0000  0.6576  8 Pb 3.36-3.67, 2 Ca 3.53
Pb  0.3633  0.0000  0.2314  7 Pb 3.41-3.50, 2 Ca 3.45
Pb  0.5358  0.5000  0.5656  9 Pb 3.43-3.67, 1 Ca 3.53
Pb  0.6723  0.0000  0.3367  7 Pb 3.36-3.51, 2 Ca 3.51
Pb  0.7036  0.0000  0.9010  7 Pb 3.41-3.51, 3 Ca 3.52-3.70
Pb  0.8293  0.5000  0.6576  8 Pb 3.36-3.67, 2 Ca 3.53
Pb  0.8633  0.5000  0.2314  7 Pb 3.41-3.50, 2 Ca 3.45

Values from the calculation:
Formation enthalpy at 0 K ... -0.13 eV/atom
Space-group type ... Cm, No. 8
Offset from the most stable computed form ... 48.7 meV per atom
Total moment ... 0.0 μB/f.u.
E ... -42.610 eV for the cell shown

=====

Below is a relaxed structure of CaPb, with properties calculated at the PBE level.

Lattice parameters (Å, degrees): 7.3480 7.3480 7.3480 90.00 90.00 90.00
With the nearest neighbours (Å) after each atom.
Positions (direct):
Ca  0.0000  0.0000  0.0000  4 Pb 3.18
Ca  0.0000  0.5000  0.5000  4 Pb 3.18
Ca  0.5000  0.0000  0.5000  4 Pb 3.18
Ca  0.5000  0.5000  0.0000  4 Pb 3.18
Pb  0.2500  0.2500  0.7500  4 Ca 3.18
Pb  0.2500  0.7500  0.2500  4 Ca 3.18
Pb  0.7500  0.2500  0.2500  4 Ca 3.18
Pb  0.7500  0.7500  0.7500  4 Ca 3.18

Values from the calculation:
Formation enthalpy at 0 K ... 0.38 eV/atom
Space-group type ... F-43m, No. 216
Total moment ... 1.4 μB/f.u.
E ... -19.772 eV for the cell shown

=====

Below is a relaxed structure of CaPb, with properties calculated at the PBE level.

Lattice parameters (Å, degrees): 12.3175 12.3175 3.7088 90.00 90.00 90.00
With the nearest neighbours (Å) after each atom.
Positions (direct):
Ca  0.1212  0.6570  0.0000  4 Pb 3.27-3.36
Ca  0.1570  0.3788  0.5000  4 Pb 3.27-3.36
Ca  0.3430  0.1212  0.0000  4 Pb 3.27-3.36
Ca  0.3788  0.8430  0.5000  4 Pb 3.27-3.36
Ca  0.6212  0.1570  0.5000  4 Pb 3.27-3.36
Ca  0.6570  0.8788  0.0000  4 Pb 3.27-3.36
Ca  0.8430  0.6212  0.5000  4 Pb 3.27-3.36
Ca  0.8788  0.3430  0.0000  4 Pb 3.27-3.36
Pb  0.0767  0.1658  0.0000  2 Pb 3.18, 4 Ca 3.27-3.36
Pb  0.1658  0.9233  0.0000  2 Pb 3.18, 4 Ca 3.27-3.36
Pb  0.3342  0.5767  0.5000  2 Pb 3.18, 4 Ca 3.27-3.36
Pb  0.4233  0.3342  0.5000  2 Pb 3.18, 4 Ca 3.27-3.36
Pb  0.5767  0.6658  0.5000  2 Pb 3.18, 4 Ca 3.27-3.36
Pb  0.6658  0.4233  0.5000  2 Pb 3.18, 4 Ca 3.27-3.36
Pb  0.8342  0.0767  0.0000  2 Pb 3.18, 4 Ca 3.27-3.36
Pb  0.9233  0.8342  0.0000  2 Pb 3.18, 4 Ca 3.27-3.36

Values from the calculation:
Formation enthalpy at 0 K ... -0.18 eV/atom
Space-group type ... I4/m, No. 87
Total moment ... 0.0 μB/f.u.
E ... -48.600 eV for the cell shown

=====

Below is a relaxed structure of CaPb, with properties calculated at the PBE level.

Lattice parameters (Å, degrees): 5.2482 17.9243 4.0739 90.00 90.00 90.00
With the nearest neighbours (Å) after each atom.
Positions (direct):
Ca  0.2500  0.0785  0.2361  5 Pb 3.29-3.36
Ca  0.2500  0.4215  0.2361  5 Pb 3.29-3.36
Ca  0.2500  0.7500  0.7631  8 Pb 3.30-3.32
Ca  0.7500  0.2500  0.2369  8 Pb 3.30-3.32
Ca  0.7500  0.5785  0.7639  5 Pb 3.29-3.36
Ca  0.7500  0.9215  0.7639  5 Pb 3.29-3.36
Pb  0.2500  0.2500  0.7366  8 Ca 3.32-3.69, 4 Pb 3.70
Pb  0.2500  0.6047  0.2654  7 Ca 3.29-3.36
Pb  0.2500  0.8953  0.2654  7 Ca 3.29-3.36
Pb  0.7500  0.1047  0.7346  7 Ca 3.29-3.36
Pb  0.7500  0.3953  0.7346  7 Ca 3.29-3.36
Pb  0.7500  0.7500  0.2634  8 Ca 3.32-3.69, 4 Pb 3.70

Values from the calculation:
Formation enthalpy at 0 K ... -0.47 eV/atom
Space-group type ... Pmmn, No. 59
Total moment ... 0.0 μB/f.u.
E ... -39.955 eV for the cell shown

=====

Below is a relaxed structure of CaPb, with properties calculated at the PBE level.

Lattice parameters (Å, degrees): 3.8223 3.8223 10.1277 90.00 90.00 120.00
With the nearest neighbours (Å) after each atom.
Positions (direct):
Ca  0.0000  0.0000  0.0000  6 Pb 3.36
Ca  0.0000  0.0000  0.5000  6 Pb 3.36
Pb  0.3333  0.6667  0.2500  6 Ca 3.36
Pb  0.6667  0.3333  0.7500  6 Ca 3.36

Values from the calculation:
Formation enthalpy at 0 K ... -0.44 eV/atom
Space-group type ... P6_3/mmc, No. 194
Total moment ... 0.0 μB/f.u.
E ... -13.174 eV for the cell shown

=====

Below is a relaxed structure of Ca3Pb5, with properties calculated at the PBE level.

Lattice parameters (Å, degrees): 9.4517 10.0608 5.0923 90.00 90.00 90.00
With the nearest neighbours (Å) after each atom.
Positions (direct):
Ca  0.0000  0.0000  0.0000  8 Pb 3.39-3.45, 4 Ca 3.72
Ca  0.0000  0.2698  0.5000  10 Pb 3.40-3.52, 2 Ca 3.72
Ca  0.0000  0.7302  0.5000  10 Pb 3.40-3.52, 2 Ca 3.72
Ca  0.5000  0.2302  0.5000  10 Pb 3.40-3.52, 2 Ca 3.72
Ca  0.5000  0.5000  0.0000  8 Pb 3.39-3.45, 4 Ca 3.72
Ca  0.5000  0.7698  0.5000  10 Pb 3.40-3.52, 2 Ca 3.72
Pb  0.0000  0.5000  0.0000  4 Ca 3.44, 8 Pb 3.45-3.56
Pb  0.2371  0.0000  0.5000  6 Ca 3.39-3.52, 6 Pb 3.56-3.58
Pb  0.2500  0.2500  0.0000  6 Pb 3.45-3.58, 6 Ca 3.45-3.48
Pb  0.2500  0.7500  0.0000  6 Pb 3.45-3.58, 6 Ca 3.45-3.48
Pb  0.2629  0.5000  0.5000  6 Ca 3.39-3.52, 6 Pb 3.56-3.58
Pb  0.5000  0.0000  0.0000  4 Ca 3.44, 8 Pb 3.45-3.56
Pb  0.7371  0.5000  0.5000  6 Ca 3.39-3.52, 6 Pb 3.56-3.58
Pb  0.7500  0.2500  0.0000  6 Pb 3.45-3.58, 6 Ca 3.45-3.48
Pb  0.7500  0.7500  0.0000  6 Pb 3.45-3.58, 6 Ca 3.45-3.48
Pb  0.7629  0.0000  0.5000  6 Ca 3.39-3.52, 6 Pb 3.56-3.58

Values from the calculation:
Formation enthalpy at 0 K ... -0.40 eV/atom
Space-group type ... Cmmm, No. 65
Offset from the most stable computed form ... 0.0 meV per atom
Total moment ... 0.0 μB/f.u.
E ... -55.557 eV for the cell shown

=====

Below is a relaxed structure of Ca5Pb3, with properties calculated at the PBE level.

Lattice parameters (Å, degrees): 16.3940 16.3940 6.9163 90.00 90.00 120.00
With the nearest neighbours (Å) after each atom.
Positions (direct):
Ca  0.0093  0.3414  0.0000  6 Pb 3.29-3.60, 2 Ca 3.47
Ca  0.0093  0.6679  0.0000  6 Pb 3.29-3.60, 2 Ca 3.47
Ca  0.0895  0.1790  0.2126  4 Pb 3.25-3.50
Ca  0.0895  0.9105  0.2126  4 Pb 3.25-3.50
Ca  0.1508  0.5754  0.2784  5 Pb 3.30-3.67
Ca  0.1790  0.0895  0.7126  4 Pb 3.25-3.50
Ca  0.2460  0.4919  0.7448  4 Pb 3.17-3.40
Ca  0.2460  0.7540  0.7448  4 Pb 3.17-3.40
Ca  0.3321  0.3414  0.0000  6 Pb 3.29-3.60, 2 Ca 3.47
Ca  0.3321  0.9907  0.0000  6 Pb 3.29-3.60, 2 Ca 3.47
Ca  0.3414  0.0093  0.5000  6 Pb 3.29-3.60, 2 Ca 3.47
Ca  0.3414  0.3321  0.5000  6 Pb 3.29-3.60, 2 Ca 3.47
Ca  0.4246  0.5754  0.2784  5 Pb 3.30-3.67
Ca  0.4246  0.8492  0.2784  5 Pb 3.30-3.67
Ca  0.4919  0.2460  0.2448  4 Pb 3.17-3.40
Ca  0.5081  0.7540  0.7448  4 Pb 3.17-3.40
Ca  0.5754  0.1508  0.7784  5 Pb 3.30-3.67
Ca  0.5754  0.4246  0.7784  5 Pb 3.30-3.67
Ca  0.6586  0.6679  0.0000  6 Pb 3.29-3.60, 2 Ca 3.47
Ca  0.6586  0.9907  0.0000  6 Pb 3.29-3.60, 2 Ca 3.47
Ca  0.6679  0.0093  0.5000  6 Pb 3.29-3.60, 2 Ca 3.47
Ca  0.6679  0.6586  0.5000  6 Pb 3.29-3.60, 2 Ca 3.47
Ca  0.7540  0.2460  0.2448  4 Pb 3.17-3.40
Ca  0.7540  0.5081  0.2448  4 Pb 3.17-3.40
Ca  0.8210  0.9105  0.2126  4 Pb 3.25-3.50
Ca  0.8492  0.4246  0.7784  5 Pb 3.30-3.67
Ca  0.9105  0.0895  0.7126  4 Pb 3.25-3.50
Ca  0.9105  0.8210  0.7126  4 Pb 3.25-3.50
Ca  0.9907  0.3321  0.5000  6 Pb 3.29-3.60, 2 Ca 3.47
Ca  0.9907  0.6586  0.5000  6 Pb 3.29-3.60, 2 Ca 3.47
Pb  0.0821  0.5410  0.7665  8 Ca 3.17-3.51
Pb  0.1300  0.2600  0.6900  8 Ca 3.28-3.60, 1 Pb 3.47
Pb  0.1300  0.8700  0.6900  8 Ca 3.28-3.60, 1 Pb 3.47
Pb  0.2024  0.4049  0.2861  8 Ca 3.25-3.42, 1 Pb 3.47
Pb  0.2024  0.7976  0.2861  8 Ca 3.25-3.42, 1 Pb 3.47
Pb  0.2600  0.1300  0.1900  8 Ca 3.28-3.60, 1 Pb 3.47
Pb  0.4049  0.2024  0.7861  8 Ca 3.25-3.42, 1 Pb 3.47
Pb  0.4590  0.5410  0.7665  8 Ca 3.17-3.51
Pb  0.4590  0.9179  0.7665  8 Ca 3.17-3.51
Pb  0.5410  0.0821  0.2665  8 Ca 3.17-3.51
Pb  0.5410  0.4590  0.2665  8 Ca 3.17-3.51
Pb  0.5951  0.7976  0.2861  8 Ca 3.25-3.42, 1 Pb 3.47
Pb  0.7400  0.8700  0.6900  8 Ca 3.28-3.60, 1 Pb 3.47
Pb  0.7976  0.2024  0.7861  8 Ca 3.25-3.42, 1 Pb 3.47
Pb  0.7976  0.5951  0.7861  8 Ca 3.25-3.42, 1 Pb 3.47
Pb  0.8700  0.1300  0.1900  8 Ca 3.28-3.60, 1 Pb 3.47
Pb  0.8700  0.7400  0.1900  8 Ca 3.28-3.60, 1 Pb 3.47
Pb  0.9179  0.4590  0.2665  8 Ca 3.17-3.51

Values from the calculation:
Formation enthalpy at 0 K ... -0.53 eV/atom
Space-group type ... P6_3mc, No. 186
Offset from the most stable computed form ... 0.0 meV per atom
Total moment ... 0.0 μB/f.u.
E ... -152.327 eV for the cell shown